# 1
Material: Rb3BaBe
Method: DFT, GGA-PBE
State: optimized geometry Values from VASP.

Structure (Quantum ESPRESSO input):
```
&SYSTEM
  ibrav = 0, nat = 5, ntyp = 3
/
ATOMIC_SPECIES
Rb 85.47 Rb.upf
Ba 137.33 Ba.upf
Be 9.01 Be.upf
ATOMIC_POSITIONS crystal
Rb 0.000 0.000 0.500
Rb 0.000 0.500 0.000
Rb 0.500 0.000 0.000
Ba 0.000 0.000 0.000
Be 0.500 0.500 0.500
CELL_PARAMETERS angstrom
8.777 0.000 0.000
0.000 8.777 0.000
0.000 0.000 8.777
```

Values from the calculation:
Relative energy among the computed polymorphs = 499 meV/atom



# 2
Material: RbBaBe3
Method: DFT, GGA-PBE
State: optimized geometry Values from VASP.

Structure (Quantum ESPRESSO input):
```
&SYSTEM
  ibrav = 0, nat = 5, ntyp = 3
/
ATOMIC_SPECIES
Rb 85.47 Rb.upf
Ba 137.33 Ba.upf
Be 9.01 Be.upf
ATOMIC_POSITIONS crystal
Rb 0.000 0.000 0.000
Ba 0.500 0.500 0.500
Be 0.000 0.500 0.500
Be 0.500 0.000 0.500
Be 0.500 0.500 0.000
CELL_PARAMETERS angstrom
6.030 0.000 0.000
0.000 6.030 0.000
0.000 0.000 6.030
```

Values from the calculation:
Relative energy among the computed polymorphs = 0 meV/atom



# 3
Material: Rb3BaBe
Method: DFT, GGA-PBE
State: optimized geometry Values from VASP.

Structure (Quantum ESPRESSO input):
```
&SYSTEM
  ibrav = 0, nat = 5, ntyp = 3
/
ATOMIC_SPECIES
Rb 85.47 Rb.upf
Ba 137.33 Ba.upf
Be 9.01 Be.upf
ATOMIC_POSITIONS crystal
Rb 0.000 0.000 0.500
Rb 0.000 0.500 0.000
Rb 0.500 0.000 0.000
Ba 0.500 0.500 0.500
Be 0.000 0.000 0.000
CELL_PARAMETERS angstrom
6.982 0.000 0.000
0.000 6.982 0.000
0.000 0.000 6.982
```

Values from the calculation:
Relative energy among the computed polymorphs = 0 meV/atom



# 4
Material: RbBaBe
Method: DFT, GGA-PBE
State: optimized geometry Values from VASP.

Structure (Quantum ESPRESSO input):
```
&SYSTEM
  ibrav = 0, nat = 3, ntyp = 3
/
ATOMIC_SPECIES
Rb 85.47 Rb.upf
Ba 137.33 Ba.upf
Be 9.01 Be.upf
ATOMIC_POSITIONS crystal
Rb 0.000 0.000 0.000
Ba 0.500 0.500 0.504
Be 0.000 0.500 0.004
CELL_PARAMETERS angstrom
4.668 0.000 0.000
0.000 7.218 0.000
0.000 0.000 4.659
```

Values from the calculation:
Relative energy among the computed polymorphs = 361 meV/atom



# 5
Material: RbBaBe
Method: DFT, GGA-PBE
State: optimized geometry Values from VASP.

Structure (Quantum ESPRESSO input):
```
&SYSTEM
  ibrav = 0, nat = 6, ntyp = 3
/
ATOMIC_SPECIES
Rb 85.47 Rb.upf
Ba 137.33 Ba.upf
Be 9.01 Be.upf
ATOMIC_POSITIONS crystal
Rb 0.000 0.000 0.000
Rb 0.356 0.500 0.714
Ba 0.205 0.000 0.426
Ba 0.625 0.500 0.259
Be 0.747 0.253 0.512
Be 0.747 0.747 0.512
CELL_PARAMETERS angstrom
5.671 0.000 0.000
0.000 4.348 0.000
-2.756 0.000 11.989
```

Values from the calculation:
Relative energy among the computed polymorphs = 118 meV/atom



# 6
Material: RbBaBe
Method: DFT, GGA-PBE
State: optimized geometry Values from VASP.

Structure (Quantum ESPRESSO input):
```
&SYSTEM
  ibrav = 0, nat = 6, ntyp = 3
/
ATOMIC_SPECIES
Rb 85.47 Rb.upf
Ba 137.33 Ba.upf
Be 9.01 Be.upf
ATOMIC_POSITIONS crystal
Rb 0.222 0.229 0.341
Rb 0.778 0.771 0.659
Ba 0.267 0.721 0.131
Ba 0.733 0.279 0.869
Be 0.248 0.019 0.979
Be 0.752 0.981 0.021
CELL_PARAMETERS angstrom
4.309 0.000 0.000
-0.032 8.542 0.000
-0.151 -1.292 8.568
```

Values from the calculation:
Relative energy among the computed polymorphs = 156 meV/atom



# 7
Material: RbBaBe
Method: DFT, GGA-PBE
State: optimized geometry Values from VASP.

Structure (Quantum ESPRESSO input):
```
&SYSTEM
  ibrav = 0, nat = 6, ntyp = 3
/
ATOMIC_SPECIES
Rb 85.47 Rb.upf
Ba 137.33 Ba.upf
Be 9.01 Be.upf
ATOMIC_POSITIONS crystal
Rb 0.000 0.000 0.000
Rb 0.457 0.502 0.278
Ba 0.437 0.495 0.734
Ba 0.917 0.998 0.524
Be 0.195 0.995 0.743
Be 0.698 0.994 0.757
CELL_PARAMETERS angstrom
4.291 0.000 0.000
0.007 5.911 0.000
0.700 0.040 12.785
```

Values from the calculation:
Relative energy among the computed polymorphs = 90 meV/atom



# 8
Material: RbBaBe
Method: DFT, GGA-PBE
State: optimized geometry Values from VASP.

Structure (Quantum ESPRESSO input):
```
&SYSTEM
  ibrav = 0, nat = 6, ntyp = 3
/
ATOMIC_SPECIES
Rb 85.47 Rb.upf
Ba 137.33 Ba.upf
Be 9.01 Be.upf
ATOMIC_POSITIONS crystal
Rb 0.000 0.000 0.000
Rb 0.216 0.431 0.744
Ba 0.729 0.577 0.254
Ba 0.801 0.710 0.486
Be 0.063 0.239 0.370
Be 0.467 0.048 0.370
CELL_PARAMETERS angstrom
4.315 0.000 0.000
-2.136 4.237 0.000
-0.115 -2.441 16.752
```

Values from the calculation:
Relative energy among the computed polymorphs = 2 meV/atom



# 9
Material: RbBaBe2
Method: DFT, GGA-PBE
State: optimized geometry Values from VASP.

Structure (Quantum ESPRESSO input):
```
&SYSTEM
  ibrav = 0, nat = 8, ntyp = 3
/
ATOMIC_SPECIES
Rb 85.47 Rb.upf
Ba 137.33 Ba.upf
Be 9.01 Be.upf
ATOMIC_POSITIONS crystal
Rb 0.000 0.000 0.000
Rb 0.750 0.250 0.500
Ba 0.250 0.750 0.500
Ba 0.500 0.500 0.000
Be 0.136 0.625 0.011
Be 0.375 0.386 0.511
Be 0.614 0.125 0.989
Be 0.875 0.864 0.489
CELL_PARAMETERS angstrom
-4.489 4.489 3.711
4.489 -4.489 3.711
4.489 4.489 -3.711
```

Values from the calculation:
Relative energy among the computed polymorphs = 217 meV/atom



# 10
Material: RbBaBe2
Method: DFT, GGA-PBE
State: optimized geometry Values from VASP.

Structure (Quantum ESPRESSO input):
```
&SYSTEM
  ibrav = 0, nat = 4, ntyp = 3
/
ATOMIC_SPECIES
Rb 85.47 Rb.upf
Ba 137.33 Ba.upf
Be 9.01 Be.upf
ATOMIC_POSITIONS crystal
Rb 0.000 0.000 0.000
Ba 0.500 0.500 0.500
Be 0.250 0.250 0.250
Be 0.750 0.750 0.750
CELL_PARAMETERS angstrom
0.000 4.014 4.014
4.014 0.000 4.014
4.014 4.014 0.000
```

Values from the calculation:
Relative energy among the computed polymorphs = 0 meV/atom



# 11
Material: Rb2BaBe
Method: DFT, GGA-PBE
State: optimized geometry Values from VASP.

Structure (Quantum ESPRESSO input):
```
&SYSTEM
  ibrav = 0, nat = 8, ntyp = 3
/
ATOMIC_SPECIES
Rb 85.47 Rb.upf
Ba 137.33 Ba.upf
Be 9.01 Be.upf
ATOMIC_POSITIONS crystal
Rb 0.101 0.625 0.976
Rb 0.375 0.351 0.476
Rb 0.649 0.125 0.024
Rb 0.875 0.899 0.524
Ba 0.250 0.750 0.500
Ba 0.500 0.500 0.000
Be 0.000 0.000 0.000
Be 0.750 0.250 0.500
CELL_PARAMETERS angstrom
-2.657 2.657 14.838
2.657 -2.657 14.838
2.657 2.657 -14.838
```



# 12
Material: RbBaBe
Method: DFT, GGA-PBE
State: optimized geometry Values from VASP.

Structure (Quantum ESPRESSO input):
```
&SYSTEM
  ibrav = 0, nat = 6, ntyp = 3
/
ATOMIC_SPECIES
Rb 85.47 Rb.upf
Ba 137.33 Ba.upf
Be 9.01 Be.upf
ATOMIC_POSITIONS crystal
Rb 0.000 0.000 0.000
Rb 0.434 0.487 0.143
Ba 0.202 0.566 0.627
Ba 0.759 0.070 0.505
Be 0.341 0.823 0.339
Be 0.833 0.754 0.356
CELL_PARAMETERS angstrom
4.325 0.000 0.000
0.018 7.792 0.000
2.120 1.492 8.876
```

Values from the calculation:
Relative energy among the computed polymorphs = 137 meV/atom



Taking the records one at a time from the top gives ΔH_f (0 K) values of 108.75 157.58 60.60 60.75 37.28 40.97 34.65 26.09 114.38 93.48 71.81 39.18 kJ per mole of atoms.